Crystalline Ta6OsPt at its relaxed geometry, computed with GGA-PBE.

Unit cell a=5.1737 b=5.1737 c=5.1737 alpha=90.00 beta=90.00 gamma=90.00
Closest atoms and distances in Å follow each position.
Space group Pm-3 (No. 200)
Symmetry-distinct sites (fractional):
Ta (0.0000, 0.2481, 0.5000)  2 Ta 2.57-2.61
Os (0.0000, 0.0000, 0.0000)  12 Ta 2.89
Pt (0.5000, 0.5000, 0.5000)  12 Ta 2.90

Properties
- total energy (eV/cell) = -91.54
- magnetic moment (μB per formula unit) = 0.0


Crystalline TcOsPt at its relaxed geometry, computed with GGA-PBE.

Unit cell a=5.9411 b=5.9411 c=5.9411 alpha=90.00 beta=90.00 gamma=90.00
Closest atoms and distances in Å follow each position.
Space group F-43m (No. 216)
Symmetry-distinct sites (fractional):
Tc (0.0000, 0.0000, 0.0000)  4 Os 2.57
Os (0.2500, 0.2500, 0.7500)  4 Tc 2.57, 4 Pt 2.57
Pt (0.0000, 0.0000, 0.5000)  4 Os 2.57

Properties
- total energy (eV/cell) = -103.92
- magnetic moment (μB per formula unit) = 0.0


Crystalline Tc2OsPt at its relaxed geometry, computed with GGA-PBE.

Unit cell a=2.7510 b=4.3848 c=4.8100 alpha=90.00 beta=90.00 gamma=90.00
Closest atoms and distances in Å follow each position.
Space group Pmm2 (No. 25)
Symmetry-distinct sites (fractional):
Tc (0.0000, 0.0000, 0.0000)  4 Tc 2.69-2.75, 4 Os 2.71, 4 Pt 2.75-2.79
Tc (0.0000, 0.5000, 0.3239)  4 Tc 2.69-2.75, 4 Pt 2.72, 4 Os 2.73-2.81
Os (0.5000, 0.5000, 0.8326)  8 Tc 2.71-2.81, 2 Pt 2.73, 2 Os 2.75
Pt (0.5000, 0.0000, 0.4961)  8 Tc 2.72-2.79, 2 Os 2.73, 2 Pt 2.75

Properties
- total energy (eV/cell) = -38.53
- magnetic moment (μB per formula unit) = 0.0


Crystalline OsPt2W at its relaxed geometry, computed with GGA-PBE.

Unit cell a=4.4856 b=9.5989 c=5.5991 alpha=90.00 beta=90.00 gamma=90.00
Closest atoms and distances in Å follow each position.
Space group Ama2 (No. 40)
Symmetry-distinct sites (fractional):
Os (0.2500, 0.0789, 0.0000)  4 W 2.70-2.86, 2 Os 2.71, 6 Pt 2.74-2.83
Pt (0.2500, 0.0878, 0.4941)  6 Pt 2.70-2.85, 4 W 2.73-2.78, 2 Os 2.77-2.83
Pt (0.2500, 0.3319, 0.2537)  4 Pt 2.70-2.85, 4 Os 2.74-2.81, 4 W 2.76-2.84
W (0.2500, 0.3377, 0.7464)  4 Os 2.70-2.86, 8 Pt 2.73-2.84

Properties
- total energy (eV/cell) = -147.96
- magnetic moment (μB per formula unit) = 0.0


Crystalline OsPt5W2 at its relaxed geometry, computed with GGA-PBE.

Unit cell a=4.5392 b=5.5269 c=9.7276 alpha=90.00 beta=90.00 gamma=90.00
Closest atoms and distances in Å follow each position.
Space group Amm2 (No. 38)
Symmetry-distinct sites (fractional):
Os (0.0000, 0.0000, 0.0000)  4 W 2.73-2.76, 8 Pt 2.75-2.85
Pt (0.0000, 0.2442, 0.7538)  6 Pt 2.70-2.83, 2 Os 2.75-2.85, 4 W 2.78-2.80
Pt (0.5000, 0.0000, 0.3472)  4 W 2.72-2.76, 8 Pt 2.74-2.85
Pt (0.5000, 0.2487, 0.5909)  6 Pt 2.74-2.85, 4 W 2.77-2.83, 2 Os 2.80
W (0.0000, 0.0000, 0.5019)  10 Pt 2.72-2.80, 2 Os 2.76
W (0.5000, 0.0000, 0.8447)  2 Os 2.73, 10 Pt 2.76-2.83

Properties
- total energy (eV/cell) = -137.47
- magnetic moment (μB per formula unit) = 0.0


Crystalline ZrOsPt at its relaxed geometry, computed with GGA-PBE.

Unit cell a=6.2159 b=6.2159 c=6.2159 alpha=90.00 beta=90.00 gamma=90.00
Closest atoms and distances in Å follow each position.
Space group F-43m (No. 216)
Symmetry-distinct sites (fractional):
Zr (0.0000, 0.0000, 0.0000)  4 Os 2.69
Os (0.2500, 0.2500, 0.7500)  4 Zr 2.69, 4 Pt 2.69
Pt (0.0000, 0.0000, 0.5000)  4 Os 2.69

Properties
- total energy (eV/cell) = -101.97
- magnetic moment (μB per formula unit) = 0.1


Crystalline PuOs2 at its relaxed geometry, computed with GGA-PBE.

Unit cell a=5.3247 b=5.3247 c=8.8142 alpha=90.00 beta=90.00 gamma=120.00
Closest atoms and distances in Å follow each position.
Space group P6_3/mmc (No. 194)
Symmetry-distinct sites (fractional):
Pu (0.3333, 0.6667, 0.0675)  12 Os 3.11-3.18, 4 Pu 3.22-3.30
Os (0.0000, 0.0000, 0.0000)  6 Os 2.70
Os (0.1700, 0.3401, 0.7500)  6 Os 2.61-2.72

Properties
- total energy (eV/cell) = -148.33
- magnetic moment (μB per formula unit) = 4.4


Crystalline Pu5Os3 at its relaxed geometry, computed with GGA-PBE.

Unit cell a=10.8237 b=10.8237 c=5.8340 alpha=90.00 beta=90.00 gamma=90.00
Closest atoms and distances in Å follow each position.
Space group I4/mcm (No. 140)
Symmetry-distinct sites (fractional):
Pu (0.0000, 0.5000, 0.2500)  4 Os 2.84, 2 Pu 2.92
Pu (0.0854, 0.2170, 0.0000)  4 Os 2.83-2.97, 1 Pu 3.03
Os (0.0000, 0.0000, 0.2500)  8 Pu 2.91, 2 Os 2.92
Os (0.1594, 0.3406, 0.5000)  6 Pu 2.83-2.97

Properties
- total energy (eV/cell) = -421.71
- magnetic moment (μB per formula unit) = 24.7


Crystalline PuScOs at its relaxed geometry, computed with GGA-PBE.

Unit cell a=6.5113 b=6.5113 c=6.5113 alpha=90.00 beta=90.00 gamma=90.00
Closest atoms and distances in Å follow each position.
Space group F-43m (No. 216)
Symmetry-distinct sites (fractional):
Pu (0.0000, 0.0000, 0.0000)  4 Os 2.82
Sc (0.0000, 0.0000, 0.5000)  4 Os 2.82
Os (0.2500, 0.2500, 0.2500)  4 Sc 2.82, 4 Pu 2.82

Properties
- total energy (eV/cell) = -128.27
- magnetic moment (μB per formula unit) = 4.9


Crystalline SmPuOs at its relaxed geometry, computed with GGA-PBE.

Unit cell a=6.6973 b=6.6973 c=6.6973 alpha=90.00 beta=90.00 gamma=90.00
Closest atoms and distances in Å follow each position.
Space group F-43m (No. 216)
Symmetry-distinct sites (fractional):
Sm (0.0000, 0.0000, 0.0000)  4 Os 2.90
Pu (0.0000, 0.0000, 0.5000)  4 Os 2.90
Os (0.2500, 0.2500, 0.7500)  4 Sm 2.90, 4 Pu 2.90

Properties
- total energy (eV/cell) = -120.16
- magnetic moment (μB per formula unit) = 5.2


Crystalline SrPuOs at its relaxed geometry, computed with GGA-PBE.

Unit cell a=6.9064 b=6.9064 c=6.9064 alpha=90.00 beta=90.00 gamma=90.00
Closest atoms and distances in Å follow each position.
Space group F-43m (No. 216)
Symmetry-distinct sites (fractional):
Sr (0.0000, 0.0000, 0.0000)  4 Os 2.99
Pu (0.0000, 0.0000, 0.5000)  4 Os 2.99
Os (0.2500, 0.2500, 0.7500)  4 Sr 2.99, 4 Pu 2.99

Properties
- total energy (eV/cell) = -102.30
- magnetic moment (μB per formula unit) = 5.2


Crystalline PuTaOs at its relaxed geometry, computed with GGA-PBE.

Unit cell a=6.2992 b=6.2992 c=6.2992 alpha=90.00 beta=90.00 gamma=90.00
Closest atoms and distances in Å follow each position.
Space group F-43m (No. 216)
Symmetry-distinct sites (fractional):
Pu (0.0000, 0.0000, 0.0000)  4 Os 2.73
Ta (0.0000, 0.0000, 0.5000)  4 Os 2.73
Os (0.2500, 0.2500, 0.2500)  4 Ta 2.73, 4 Pu 2.73

Properties
- total energy (eV/cell) = -139.54
- magnetic moment (μB per formula unit) = 0.0